# BePSN2 (PBE, optimized geometry)
data_BePSN2
_chemical_formula_sum 'Be1 P1 S1 N2'
_space_group_name_H-M_alt 'P 1'
_space_group_IT_number 1
_space_group_name_Hall 'P 1'
_cell_length_a 3.258
_cell_length_b 3.258
_cell_length_c 6.929
_cell_angle_alpha 90.00
_cell_angle_beta 90.00
_cell_angle_gamma 90.00
loop_
_atom_site_label
_atom_site_fract_x
_atom_site_fract_y
_atom_site_fract_z
P1 0.500 0.500 0.500
S1 0.000 0.000 0.500
Be1 0.000 0.000 0.000
N1 0.000 0.500 0.000
N2 0.500 0.000 0.000
# Magnetization (μB/f.u.): 0.8
# Energy above the most stable polymorph in this dataset (meV per atom): 581.0
# Energy relative to the elements, uncorrected (eV per atom): 1.170

# GeHO2 (PBE, optimized geometry)
data_GeHO2
_chemical_formula_sum 'Ge1 H1 O2'
_space_group_name_H-M_alt 'P 1'
_space_group_IT_number 1
_space_group_name_Hall 'P 1'
_cell_length_a 2.987
_cell_length_b 4.832
_cell_length_c 3.840
_cell_angle_alpha 67.59
_cell_angle_beta 89.57
_cell_angle_gamma 102.77
loop_
_atom_site_label
_atom_site_fract_x
_atom_site_fract_y
_atom_site_fract_z
Ge1 0.088 0.685 0.088
H1 0.886 0.316 0.769
O1 0.051 0.543 0.657
O2 0.679 0.941 0.965
# Magnetization (μB/f.u.): 0.0
# Energy above the most stable polymorph in this dataset (meV per atom): 0.0

Question: Look up the energy above the most stable polymorph in this dataset of the second one.
Answer: 0.0 meV per atom